The following is a GGA-PBE calculation of CuSnMo4N2 after structural relaxation, from OQMD.

abc: 3.2123 3.2123 12.4963
angles: 90.00 90.00 120.00
Space group P-6m2 (No. 187)
One atom of each set of equivalent atoms:
Cu1 0.0000 0.0000 0.0000
Sn1 0.3333 0.6667 0.5000
Mo1 0.0000 0.0000 0.3171
Mo2 0.3333 0.6667 0.1538
N1 0.6667 0.3333 0.2359

Mass density ... 8833 kg/m3
Total magnetization ... 0.0 Bohr magnetons per cell
Raw total energy ... -8.388 eV/atom